Here is a relaxed BaNp2O6 crystal from Alexandria. Energies are from PBE-GGA.

Cell lengths 7.766, 7.766, 7.766 Å; angles 60.00, 60.00, 60.00 degrees
Fractional coordinates of all 18 atoms:
Ba 0.125 0.125 0.125
Ba 0.875 0.875 0.875
Np 0.000 0.500 0.500
Np 0.500 0.000 0.500
Np 0.500 0.500 0.000
Np 0.500 0.500 0.500
O 0.171 0.171 0.579
O 0.171 0.579 0.171
O 0.171 0.579 0.579
O 0.421 0.421 0.829
O 0.421 0.829 0.421
O 0.421 0.829 0.829
O 0.579 0.171 0.171
O 0.579 0.171 0.579
O 0.579 0.579 0.171
O 0.829 0.421 0.421
O 0.829 0.421 0.829
O 0.829 0.829 0.421

Results
The uncorrected formation energy is -25.44 eV/f.u. Its size of the total moment is 4.00 μB/f.u. Its energy above the most stable polymorph in this dataset is 144.1 meV/atom.



Here is a relaxed Ba3Np2O7 crystal from Alexandria. Energies are from PBE-GGA.

Cell lengths 11.628, 11.628, 11.628 Å; angles 158.00, 158.00, 31.31 degrees
Fractional coordinates of all 12 atoms:
Ba 0.000 0.000 0.000
Ba 0.186 0.186 0.000
Ba 0.814 0.814 0.000
Np 0.401 0.401 0.000
Np 0.599 0.599 0.000
O 0.098 0.598 0.500
O 0.302 0.302 0.000
O 0.402 0.902 0.500
O 0.500 0.500 0.000
O 0.598 0.098 0.500
O 0.698 0.698 0.000
O 0.902 0.402 0.500

Results
The uncorrected formation energy is -34.56 eV/f.u. Its size of the total moment is 6.00 μB/f.u. Its energy above the most stable polymorph in this dataset is 0.0 meV/atom.



Here is a relaxed Ba2Np3O8 crystal from Alexandria. Energies are from PBE-GGA.

Cell lengths 7.243, 7.243, 5.968 Å; angles 108.41, 108.41, 58.51 degrees
Fractional coordinates of all 13 atoms:
Ba 0.213 0.213 0.157
Ba 0.787 0.787 0.843
Np 0.243 0.757 0.500
Np 0.500 0.500 0.000
Np 0.757 0.243 0.500
O 0.099 0.099 0.459
O 0.186 0.612 0.110
O 0.388 0.814 0.890
O 0.407 0.407 0.592
O 0.593 0.593 0.408
O 0.612 0.186 0.110
O 0.814 0.388 0.890
O 0.901 0.901 0.541

Results
The uncorrected formation energy is -38.34 eV/f.u. Its size of the total moment is 9.00 μB/f.u.



Here is a relaxed BaNpO4 crystal from Alexandria. Energies are from PBE-GGA.

Cell lengths 6.989, 6.989, 6.989 Å; angles 130.16, 130.16, 73.16 degrees
Fractional coordinates of all 12 atoms:
Ba 0.375 0.125 0.250
Ba 0.625 0.875 0.750
Np 0.125 0.375 0.750
Np 0.875 0.625 0.250
O 0.018 0.267 0.339
O 0.179 0.518 0.251
O 0.233 0.072 0.751
O 0.428 0.679 0.161
O 0.572 0.321 0.839
O 0.767 0.928 0.249
O 0.821 0.482 0.749
O 0.982 0.733 0.661

Results
The uncorrected formation energy is -15.93 eV/f.u. Its size of the total moment is 1.00 μB/f.u.



Here is a relaxed BaNpO4 crystal from Alexandria. Energies are from PBE-GGA.

Cell lengths 5.835, 8.185, 8.246 Å; angles 90.00, 90.00, 90.00 degrees
Fractional coordinates of all 24 atoms:
Ba 0.020 0.195 0.250
Ba 0.020 0.305 0.750
Ba 0.980 0.695 0.250
Ba 0.980 0.805 0.750
Np 0.500 0.000 0.000
Np 0.500 0.000 0.500
Np 0.500 0.500 0.000
Np 0.500 0.500 0.500
O 0.205 0.574 0.568
O 0.205 0.574 0.932
O 0.205 0.926 0.068
O 0.205 0.926 0.432
O 0.357 0.250 0.000
O 0.357 0.250 0.500
O 0.384 0.526 0.250
O 0.384 0.974 0.750
O 0.616 0.026 0.250
O 0.616 0.474 0.750
O 0.643 0.750 0.000
O 0.643 0.750 0.500
O 0.795 0.074 0.568
O 0.795 0.074 0.932
O 0.795 0.426 0.068
O 0.795 0.426 0.432

Results
The uncorrected formation energy is -17.90 eV/f.u. Its size of the total moment is 1.00 μB/f.u.



Here is a relaxed Ba3Np5O12 crystal from Alexandria. Energies are from PBE-GGA.

Cell lengths 12.475, 12.475, 12.475 Å; angles 109.47, 109.47, 109.47 degrees
Fractional coordinates of all 80 atoms:
Ba 0.125 0.250 0.375
Ba 0.125 0.375 0.750
Ba 0.250 0.375 0.125
Ba 0.250 0.875 0.625
Ba 0.375 0.125 0.250
Ba 0.375 0.750 0.125
Ba 0.625 0.250 0.875
Ba 0.625 0.875 0.750
Ba 0.750 0.125 0.375
Ba 0.750 0.625 0.875
Ba 0.875 0.625 0.250
Ba 0.875 0.750 0.625
Np 0.000 0.000 0.000
Np 0.000 0.000 0.500
Np 0.000 0.500 0.000
Np 0.000 0.500 0.500
Np 0.125 0.750 0.875
Np 0.125 0.875 0.250
Np 0.250 0.125 0.875
Np 0.250 0.625 0.375
Np 0.375 0.250 0.625
Np 0.375 0.625 0.750
Np 0.500 0.000 0.000
Np 0.500 0.000 0.500
Np 0.500 0.500 0.000
Np 0.500 0.500 0.500
Np 0.625 0.375 0.250
Np 0.625 0.750 0.375
Np 0.750 0.375 0.625
Np 0.750 0.875 0.125
Np 0.875 0.125 0.750
Np 0.875 0.250 0.125
O 0.019 0.193 0.115
O 0.019 0.325 0.903
O 0.078 0.693 0.675
O 0.078 0.885 0.403
O 0.097 0.615 0.422
O 0.097 0.981 0.675
O 0.115 0.019 0.193
O 0.115 0.597 0.922
O 0.175 0.193 0.578
O 0.175 0.481 0.597
O 0.193 0.115 0.019
O 0.193 0.578 0.175
O 0.307 0.325 0.922
O 0.307 0.481 0.385
O 0.325 0.903 0.019
O 0.325 0.922 0.307
O 0.385 0.307 0.481
O 0.385 0.578 0.903
O 0.403 0.078 0.885
O 0.403 0.825 0.519
O 0.422 0.097 0.615
O 0.422 0.825 0.807
O 0.481 0.385 0.307
O 0.481 0.597 0.175
O 0.519 0.403 0.825
O 0.519 0.615 0.693
O 0.578 0.175 0.193
O 0.578 0.903 0.385
O 0.597 0.175 0.481
O 0.597 0.922 0.115
O 0.615 0.422 0.097
O 0.615 0.693 0.519
O 0.675 0.078 0.693
O 0.675 0.097 0.981
O 0.693 0.519 0.615
O 0.693 0.675 0.078
O 0.807 0.422 0.825
O 0.807 0.885 0.981
O 0.825 0.519 0.403
O 0.825 0.807 0.422
O 0.885 0.403 0.078
O 0.885 0.981 0.807
O 0.903 0.019 0.325
O 0.903 0.385 0.578
O 0.922 0.115 0.597
O 0.922 0.307 0.325
O 0.981 0.675 0.097
O 0.981 0.807 0.885

Results
The uncorrected formation energy is -56.73 eV/f.u. Its size of the total moment is 16.98 μB/f.u.



Here is a relaxed BaNpO6 crystal from Alexandria. Energies are from PBE-GGA.

Cell lengths 5.090, 5.090, 5.090 Å; angles 97.41, 97.41, 97.41 degrees
Fractional coordinates of all 8 atoms:
Ba 0.000 0.000 0.000
Np 0.500 0.500 0.500
O 0.230 0.230 0.578
O 0.230 0.578 0.230
O 0.422 0.770 0.770
O 0.578 0.230 0.230
O 0.770 0.422 0.770
O 0.770 0.770 0.422

Results
The uncorrected formation energy is -14.72 eV/f.u. Its size of the total moment is 3.03 μB/f.u.



Here is a relaxed Ba2NpO7 crystal from Alexandria. Energies are from PBE-GGA.

Cell lengths 6.110, 6.110, 6.110 Å; angles 60.00, 60.00, 60.00 degrees
Fractional coordinates of all 10 atoms:
Ba 0.250 0.250 0.250
Ba 0.750 0.750 0.750
Np 0.000 0.000 0.000
O 0.232 0.232 0.768
O 0.232 0.768 0.232
O 0.232 0.768 0.768
O 0.500 0.500 0.500
O 0.768 0.232 0.232
O 0.768 0.232 0.768
O 0.768 0.768 0.232

Results
The uncorrected formation energy is -20.18 eV/f.u. Its size of the total moment is 2.98 μB/f.u.



Here is a relaxed Ba2Np2O7 crystal from Alexandria. Energies are from PBE-GGA.

Cell lengths 5.495, 5.495, 5.982 Å; angles 90.00, 90.00, 97.30 degrees
Fractional coordinates of all 11 atoms:
Ba 0.241 0.241 0.000
Ba 0.759 0.759 0.000
Np 0.274 0.726 0.500
Np 0.726 0.274 0.500
O 0.000 0.000 0.500
O 0.000 0.500 0.284
O 0.000 0.500 0.716
O 0.500 0.000 0.284
O 0.500 0.000 0.716
O 0.500 0.500 0.290
O 0.500 0.500 0.710

Results
The uncorrected formation energy is -30.95 eV/f.u. Its size of the total moment is 4.00 μB/f.u.



Here is a relaxed BaNp2O6 crystal from Alexandria. Energies are from PBE-GGA.

Cell lengths 5.922, 5.922, 5.477 Å; angles 90.00, 90.00, 120.00 degrees
Fractional coordinates of all 9 atoms:
Ba 0.000 0.000 0.000
Np 0.333 0.667 0.500
Np 0.667 0.333 0.500
O 0.000 0.377 0.699
O 0.000 0.623 0.301
O 0.377 0.000 0.699
O 0.377 0.377 0.301
O 0.623 0.000 0.301
O 0.623 0.623 0.699

Results
The uncorrected formation energy is -26.74 eV/f.u. Its size of the total moment is 4.00 μB/f.u. Its energy above the most stable polymorph in this dataset is 0.0 meV/atom.



Here is a relaxed BaNpO2 crystal from Alexandria. Energies are from PBE-GGA.

Cell lengths 6.612, 6.612, 6.612 Å; angles 31.86, 31.86, 31.86 degrees
Fractional coordinates of all 4 atoms:
Ba 0.000 0.000 0.000
Np 0.500 0.500 0.500
O 0.228 0.228 0.228
O 0.772 0.772 0.772

Results
The uncorrected formation energy is -9.19 eV/f.u. Its size of the total moment is 4.02 μB/f.u.



Here is a relaxed BaNp2O7 crystal from Alexandria. Energies are from PBE-GGA.

Cell lengths 6.642, 6.642, 4.164 Å; angles 90.00, 90.00, 121.22 degrees
Fractional coordinates of all 10 atoms:
Ba 0.000 0.000 0.000
Np 0.321 0.679 0.500
Np 0.679 0.321 0.500
O 0.047 0.339 0.500
O 0.316 0.684 0.000
O 0.339 0.047 0.500
O 0.500 0.500 0.500
O 0.661 0.953 0.500
O 0.684 0.316 0.000
O 0.953 0.661 0.500

Results
The uncorrected formation energy is -27.86 eV/f.u. Its size of the total moment is 2.00 μB/f.u.



Look up the uncorrected formation energy of the fourth one. -15.93 eV/f.u.



What is the formula in the seventh record? BaNpO6



Among the records above, which one has the lowest uncorrected formation energy? Ba3Np5O12